[1]
Compound: BaSbIr2
Source: the Alexandria database
Functional: meta-GGA SCAN
Structure: single point on PBEsol structure

* uncorrected energy: -218.45 eV per cell

a b c (Å): 3.014 3.930 7.398
angles (deg): 90.00 90.00 90.00
Fractional positions:
Ba 0.500 0.500 0.785
Ir 0.000 0.000 0.069
Ir 0.500 0.500 0.227
Sb 0.000 0.000 0.420



[2]
Compound: BaSb2Ir
Source: the Alexandria database
Functional: meta-GGA SCAN
Structure: single point on PBEsol structure

* uncorrected energy: -185.86 eV per cell

a b c (Å): 3.687 3.687 7.681
angles (deg): 90.00 90.00 90.00
Fractional positions:
Ba 0.000 0.000 0.511
Ir 0.500 0.500 0.845
Sb 0.000 0.000 0.945
Sb 0.500 0.500 0.199



[3]
Compound: BaSb2Ir
Source: the Alexandria database
Functional: meta-GGA SCAN
Structure: single point on PBEsol structure

* uncorrected energy: -187.94 eV per cell

a b c (Å): 4.316 4.316 7.217
angles (deg): 72.60 72.60 60.00
Fractional positions:
Sb 0.952 0.952 0.143
Sb 0.722 0.722 0.834
Ir 0.333 0.333 0.002
Ba 0.510 0.510 0.471



[4]
Compound: BaSb2Ir
Source: the Alexandria database
Functional: meta-GGA SCAN
Structure: single point on PBEsol structure

* uncorrected energy: -186.31 eV per cell

a b c (Å): 3.611 3.869 8.157
angles (deg): 103.72 102.79 90.00
Fractional positions:
Ba 0.557 0.557 0.113
Ir 0.293 0.793 0.585
Sb 0.915 0.915 0.829
Sb 0.736 0.236 0.472